1.
DFT (PBE) results for an optimized crystal structure of AlCu2As.

```
data_AlCu2As
_symmetry_space_group_name_H-M 'P 4/m m m'
_symmetry_Int_Tables_number 123
_symmetry_space_group_name_Hall '-P 4 2'
_cell_length_a 3.874
_cell_length_b 3.874
_cell_length_c 3.878
_cell_angle_alpha 90.00
_cell_angle_beta 90.00
_cell_angle_gamma 90.00
loop_
_atom_site_label
_atom_site_type_symbol
_atom_site_fract_x
_atom_site_fract_y
_atom_site_fract_z
_atom_site_occupancy
Al1 Al 0.000 0.000 0.000 1
Cu1 Cu 0.000 0.500 0.500 1
As1 As 0.500 0.500 0.000 1
```

The formation energy is 0.0451 eV per atom. As for the excess energy over the best structure of this formula in the dataset: 46 meV per atom.

---

2.
DFT (PBE) results for an optimized crystal structure of AlGaCu2As2O10.

```
data_AlGaCu2As2O10
_symmetry_space_group_name_H-M 'P 1 21 1'
_symmetry_Int_Tables_number 4
_symmetry_space_group_name_Hall 'P 2yb'
_cell_length_a 5.800
_cell_length_b 10.344
_cell_length_c 7.482
_cell_angle_alpha 90.00
_cell_angle_beta 100.77
_cell_angle_gamma 90.00
loop_
_atom_site_label
_atom_site_type_symbol
_atom_site_fract_x
_atom_site_fract_y
_atom_site_fract_z
_atom_site_occupancy
Al1 Al 0.193 0.000 0.147 1
Ga1 Ga 0.309 0.355 0.854 1
Cu1 Cu 0.162 0.815 0.459 1
Cu2 Cu 0.337 0.537 0.536 1
As1 As 0.171 0.064 0.730 1
As2 As 0.333 0.287 0.276 1
O1 O 0.004 0.401 0.761 1
O2 O 0.098 0.635 0.364 1
O3 O 0.127 0.970 0.909 1
O4 O 0.144 0.166 0.191 1
O5 O 0.213 0.369 0.436 1
O6 O 0.286 0.981 0.568 1
O7 O 0.371 0.183 0.808 1
O8 O 0.379 0.388 0.104 1
O9 O 0.398 0.716 0.630 1
O10 O 0.485 0.958 0.241 1
```

Its energy relative to the elements, uncorrected is -136.84 kJ per mole of atoms.

---

3.
DFT (PBE) results for an optimized crystal structure of Al2InCuAs.

```
data_Al2InCuAs
_symmetry_space_group_name_H-M 'P 4/m m m'
_symmetry_Int_Tables_number 123
_symmetry_space_group_name_Hall '-P 4 2'
_cell_length_a 4.856
_cell_length_b 4.856
_cell_length_c 5.515
_cell_angle_alpha 90.00
_cell_angle_beta 90.00
_cell_angle_gamma 90.00
loop_
_atom_site_label
_atom_site_type_symbol
_atom_site_fract_x
_atom_site_fract_y
_atom_site_fract_z
_atom_site_occupancy
Al1 Al 0.000 0.500 0.000 1
In1 In 0.000 0.000 0.500 1
Cu1 Cu 0.500 0.500 0.500 1
As1 As 0.000 0.000 0.000 1
```

The formation energy is 0.7586 eV per atom. As for the excess energy over the best structure of this formula in the dataset: 0 meV per atom.

---

4.
DFT (PBE) results for an optimized crystal structure of Al2InCuAs.

```
data_Al2InCuAs
_symmetry_space_group_name_H-M 'P 4/m m m'
_symmetry_Int_Tables_number 123
_symmetry_space_group_name_Hall '-P 4 2'
_cell_length_a 5.137
_cell_length_b 5.137
_cell_length_c 4.773
_cell_angle_alpha 90.00
_cell_angle_beta 90.00
_cell_angle_gamma 90.00
loop_
_atom_site_label
_atom_site_type_symbol
_atom_site_fract_x
_atom_site_fract_y
_atom_site_fract_z
_atom_site_occupancy
Al1 Al 0.000 0.500 0.000 1
In1 In 0.000 0.000 0.000 1
Cu1 Cu 0.000 0.000 0.500 1
As1 As 0.500 0.500 0.500 1
```

The formation energy is 0.9254 eV per atom. As for the excess energy over the best structure of this formula in the dataset: 167 meV per atom.

---

5.
DFT (PBE) results for an optimized crystal structure of MnAlCu2As.

```
data_MnAlCu2As
_symmetry_space_group_name_H-M 'P 4/m m m'
_symmetry_Int_Tables_number 123
_symmetry_space_group_name_Hall '-P 4 2'
_cell_length_a 4.639
_cell_length_b 4.639
_cell_length_c 4.409
_cell_angle_alpha 90.00
_cell_angle_beta 90.00
_cell_angle_gamma 90.00
loop_
_atom_site_label
_atom_site_type_symbol
_atom_site_fract_x
_atom_site_fract_y
_atom_site_fract_z
_atom_site_occupancy
Mn1 Mn 0.000 0.000 0.000 1
Al1 Al 0.500 0.500 0.500 1
Cu1 Cu 0.000 0.500 0.000 1
As1 As 0.000 0.000 0.500 1
```

The formation energy is 0.6827 eV per atom.

---

6.
DFT (PBE) results for an optimized crystal structure of AlCuAsO5.

```
data_AlCuAsO5
_symmetry_space_group_name_H-M 'P 1 21/c 1'
_symmetry_Int_Tables_number 14
_symmetry_space_group_name_Hall '-P 2ybc'
_cell_length_a 7.436
_cell_length_b 10.320
_cell_length_c 5.738
_cell_angle_alpha 90.00
_cell_angle_beta 100.54
_cell_angle_gamma 90.00
loop_
_atom_site_label
_atom_site_type_symbol
_atom_site_fract_x
_atom_site_fract_y
_atom_site_fract_z
_atom_site_occupancy
Al1 Al 0.149 0.179 0.442 1
Cu1 Cu 0.461 0.139 0.911 1
As1 As 0.271 0.610 0.081 1
O1 O 0.091 0.705 0.121 1
O2 O 0.195 0.014 0.390 1
O3 O 0.238 0.223 0.738 1
O4 O 0.364 0.541 0.355 1
O5 O 0.432 0.694 0.962 1
```

Its energy relative to the elements, uncorrected is -154.69 kJ per mole of atoms.

---

7.
DFT (PBE) results for an optimized crystal structure of AlCuAs2O8.

```
data_AlCuAs2O8
_symmetry_space_group_name_H-M 'I -4 m 2'
_symmetry_Int_Tables_number 119
_symmetry_space_group_name_Hall 'I -4 -2'
_cell_length_a 6.328
_cell_length_b 6.328
_cell_length_c 6.374
_cell_angle_alpha 90.00
_cell_angle_beta 90.00
_cell_angle_gamma 90.00
loop_
_atom_site_label
_atom_site_type_symbol
_atom_site_fract_x
_atom_site_fract_y
_atom_site_fract_z
_atom_site_occupancy
Al1 Al 0.000 0.000 0.000 1
Cu1 Cu 0.000 0.500 0.250 1
As1 As 0.000 0.000 0.500 1
As2 As 0.000 0.500 0.750 1
O1 O 0.000 0.192 0.306 1
O2 O 0.000 0.296 0.928 1
```

Its energy relative to the elements, uncorrected is -106.52 kJ per mole of atoms.

---

8.
DFT (PBE) results for an optimized crystal structure of AlCuAsPt2.

```
data_AlCuAsPt2
_symmetry_space_group_name_H-M 'P 4/m m m'
_symmetry_Int_Tables_number 123
_symmetry_space_group_name_Hall '-P 4 2'
_cell_length_a 4.721
_cell_length_b 4.721
_cell_length_c 4.247
_cell_angle_alpha 90.00
_cell_angle_beta 90.00
_cell_angle_gamma 90.00
loop_
_atom_site_label
_atom_site_type_symbol
_atom_site_fract_x
_atom_site_fract_y
_atom_site_fract_z
_atom_site_occupancy
Al1 Al 0.000 0.000 0.000 1
Cu1 Cu 0.500 0.500 0.500 1
As1 As 0.500 0.500 0.000 1
Pt1 Pt 0.000 0.500 0.500 1
```

The formation energy is 0.5551 eV per atom.

---

9.
DFT (PBE) results for an optimized crystal structure of AlCuAs2Se.

```
data_AlCuAs2Se
_symmetry_space_group_name_H-M 'P 4/m m m'
_symmetry_Int_Tables_number 123
_symmetry_space_group_name_Hall '-P 4 2'
_cell_length_a 4.659
_cell_length_b 4.659
_cell_length_c 4.968
_cell_angle_alpha 90.00
_cell_angle_beta 90.00
_cell_angle_gamma 90.00
loop_
_atom_site_label
_atom_site_type_symbol
_atom_site_fract_x
_atom_site_fract_y
_atom_site_fract_z
_atom_site_occupancy
Al1 Al 0.000 0.000 0.000 1
Cu1 Cu 0.500 0.500 0.500 1
As1 As 0.000 0.500 0.500 1
Se1 Se 0.500 0.500 0.000 1
```

Its energy relative to the elements, uncorrected is 57.05 kJ per mole of atoms. As for the excess energy over the best structure of this formula in the dataset: 0 meV per atom.

---

10.
DFT (PBE) results for an optimized crystal structure of AlCuAs2Se.

```
data_AlCuAs2Se
_symmetry_space_group_name_H-M 'P 4/m m m'
_symmetry_Int_Tables_number 123
_symmetry_space_group_name_Hall '-P 4 2'
_cell_length_a 4.820
_cell_length_b 4.820
_cell_length_c 4.889
_cell_angle_alpha 90.00
_cell_angle_beta 90.00
_cell_angle_gamma 90.00
loop_
_atom_site_label
_atom_site_type_symbol
_atom_site_fract_x
_atom_site_fract_y
_atom_site_fract_z
_atom_site_occupancy
Al1 Al 0.000 0.000 0.000 1
Cu1 Cu 0.500 0.500 0.500 1
As1 As 0.000 0.500 0.000 1
Se1 Se 0.000 0.000 0.500 1
```

Its energy relative to the elements, uncorrected is 65.94 kJ per mole of atoms. As for the excess energy over the best structure of this formula in the dataset: 92 meV per atom.

---

11.
DFT (PBE) results for an optimized crystal structure of SrAl2CuAs.

```
data_SrAl2CuAs
_symmetry_space_group_name_H-M 'P 4/m m m'
_symmetry_Int_Tables_number 123
_symmetry_space_group_name_Hall '-P 4 2'
_cell_length_a 5.925
_cell_length_b 5.925
_cell_length_c 5.594
_cell_angle_alpha 90.00
_cell_angle_beta 90.00
_cell_angle_gamma 90.00
loop_
_atom_site_label
_atom_site_type_symbol
_atom_site_fract_x
_atom_site_fract_y
_atom_site_fract_z
_atom_site_occupancy
Sr1 Sr 0.000 0.000 0.000 1
Al1 Al 0.000 0.500 0.000 1
Cu1 Cu 0.500 0.500 0.500 1
As1 As 0.000 0.000 0.500 1
```

The formation energy is 1.4540 eV per atom. As for the excess energy over the best structure of this formula in the dataset: 1209 meV per atom.

---

12.
DFT (PBE) results for an optimized crystal structure of SrAlCuAs2.

```
data_SrAlCuAs2
_symmetry_space_group_name_H-M 'P 4/m m m'
_symmetry_Int_Tables_number 123
_symmetry_space_group_name_Hall '-P 4 2'
_cell_length_a 4.783
_cell_length_b 4.783
_cell_length_c 6.161
_cell_angle_alpha 90.00
_cell_angle_beta 90.00
_cell_angle_gamma 90.00
loop_
_atom_site_label
_atom_site_type_symbol
_atom_site_fract_x
_atom_site_fract_y
_atom_site_fract_z
_atom_site_occupancy
Sr1 Sr 0.000 0.000 0.000 1
Al1 Al 0.000 0.000 0.500 1
Cu1 Cu 0.500 0.500 0.000 1
As1 As 0.000 0.500 0.500 1
```

The formation energy is 0.3902 eV per atom.

---

Please write out number 11 again, unchanged.
DFT (PBE) results for an optimized crystal structure of SrAl2CuAs.

```
data_SrAl2CuAs
_symmetry_space_group_name_H-M 'P 4/m m m'
_symmetry_Int_Tables_number 123
_symmetry_space_group_name_Hall '-P 4 2'
_cell_length_a 5.925
_cell_length_b 5.925
_cell_length_c 5.594
_cell_angle_alpha 90.00
_cell_angle_beta 90.00
_cell_angle_gamma 90.00
loop_
_atom_site_label
_atom_site_type_symbol
_atom_site_fract_x
_atom_site_fract_y
_atom_site_fract_z
_atom_site_occupancy
Sr1 Sr 0.000 0.000 0.000 1
Al1 Al 0.000 0.500 0.000 1
Cu1 Cu 0.500 0.500 0.500 1
As1 As 0.000 0.000 0.500 1
```

The formation energy is 1.4540 eV per atom. As for the excess energy over the best structure of this formula in the dataset: 1209 meV per atom.